Record 1
A plane-wave DFT calculation with PBE was carried out for crystalline CdHgPd3 at its relaxed geometry.

Unit cell a=7.337 b=7.212 c=6.988 alpha=90.00 beta=90.00 gamma=90.00
Space group Pnma (No. 62)
Inequivalent atoms, fractional coordinates:
Cd  0.170  0.250  0.098 x4
Hg  0.000  0.000  0.500 x4
Pd  0.131  0.750  0.209 x4
Pd  0.141  0.545  0.862 x8

Total magnetization: 0.000 μB/atom
DOS at the Fermi energy: 9.45 states/eV per cell
E: -3.46 eV/atom
ΔE to the lowest computed polymorph: 13.2 kJ/mol of atoms

---

Record 2
A plane-wave DFT calculation with PBE was carried out for crystalline Cd4HgPd15 at its relaxed geometry.

Unit cell a=4.066 b=4.066 c=20.001 alpha=90.00 beta=90.00 gamma=90.00
Space group P4/mmm (No. 123)
Inequivalent atoms, fractional coordinates:
Cd  0.000  0.000  0.100 x2
Cd  0.000  0.000  0.299 x2
Hg  0.000  0.000  0.500 x1
Pd  0.000  0.500  0.000 x2
Pd  0.000  0.500  0.200 x4
Pd  0.000  0.500  0.399 x4
Pd  0.500  0.500  0.100 x2
Pd  0.500  0.500  0.299 x2
Pd  0.500  0.500  0.500 x1

Total magnetization: 0.000 μB/atom
DOS at the Fermi energy: 27.52 states/eV per cell
E: -4.30 eV/atom

---

Record 3
A plane-wave DFT calculation with PBE was carried out for crystalline CdHg2Pd at its relaxed geometry.

Unit cell a=4.5517 b=4.5517 c=15.2928 alpha=90.00 beta=90.00 gamma=120.00
Space group R3m (No. 160, hexagonal axes)
Inequivalent atoms, fractional coordinates:
Cd  0.0000  0.0000  0.0000 x3
Hg  0.0000  0.0000  0.2213 x3
Hg  0.0000  0.0000  0.4240 x3
Pd  0.0000  0.0000  0.8166 x3

Total magnetization: 0.000 μB/atom
DOS at the Fermi energy: 3.45 states/eV per cell
E: -1.71 eV/atom

---

In order of appearance, DFT formation energy = -0.10, -0.21, -0.03 eV/atom.